No. 1
The following is a DFT calculation (GGA-PBE) of an optimized crystal structure of Ac2Zn3Ag2.

Geometry as POSCAR:
```
Ac2Zn3Ag2
1.0
2.207 -10.426 0.000
2.207 10.426 0.000
0.000 0.000 4.069
Ac Zn Ag
2 3 2
Direct
0.153 0.847 0.000
0.847 0.153 0.000
0.000 0.000 0.000
0.437 0.563 0.500
0.563 0.437 0.500
0.292 0.708 0.500
0.708 0.292 0.500
```

## Properties
Calculated volume = 187.2 Å³ per cell
E_form = -0.053 eV/atom
Density = 7.7 Mg/m³

No. 2
The following is a DFT calculation (GGA-PBE) of an optimized crystal structure of AcZn3Ag.

Geometry as POSCAR:
```
AcZn3Ag
1.0
4.928 0.000 0.000
0.000 4.928 0.000
0.000 0.000 4.928
Ac Zn Ag
1 3 1
Direct
0.000 0.000 0.000
0.000 0.500 0.500
0.500 0.000 0.500
0.500 0.500 0.000
0.500 0.500 0.500
```

## Properties
Calculated volume = 119.7 Å³ per cell
E_form = -0.037 eV/atom
Density = 7.4 Mg/m³

No. 3
The following is a DFT calculation (GGA-PBE) of an optimized crystal structure of Ac2Zn5Ag5.

Geometry as POSCAR:
```
Ac2Zn5Ag5
1.0
4.523 0.000 0.000
0.000 5.583 0.000
0.000 0.000 9.992
Ac Zn Ag
2 5 5
Direct
0.000 0.000 0.000
0.000 0.500 0.500
0.500 0.000 0.500
0.500 0.250 0.252
0.500 0.250 0.748
0.500 0.750 0.252
0.500 0.750 0.748
0.000 0.000 0.331
0.000 0.000 0.669
0.000 0.500 0.177
0.000 0.500 0.823
0.500 0.500 0.000
```

## Properties
Calculated volume = 252.3 Å³ per cell
E_form = -0.242 eV/atom
Density = 8.7 Mg/m³